Record 1
MgIr2S | GGA-PBE | optimized geometry

Results
**Magnetic moment**: 0.000 μB/cell
**ΔE_f (raw)**: 0.07 eV/atom
**Crystal system**: tetragonal
**Relative energy among the computed polymorphs**: 0 meV/atom

```
data_MgIr2S
_chemical_formula_sum 'Mg4 Ir8 S4'
_cell_length_a 7.0893
_cell_length_b 7.0893
_cell_length_c 5.3428
_cell_angle_alpha 90.00
_cell_angle_beta 90.00
_cell_angle_gamma 90.00
_space_group_name_H-M_alt 'I -4 2 d'
_space_group_IT_number 122
_space_group_name_Hall 'I -4 2bw'
loop_
_atom_site_label
_atom_site_fract_x
_atom_site_fract_y
_atom_site_fract_z
Mg1 0.0000 0.0000 0.0000
Ir1 0.1587 0.2500 0.6250
S1 0.0000 0.0000 0.5000
```



Record 2
Pm5Ho4Pu | GGA-PBE | optimized geometry

Results
**Magnetic moment**: 12.018 μB/cell
**Crystal system**: monoclinic
**Total DFT energy (no corrections)**: -5.5768 eV per atom

```
data_Pm5Ho4Pu
_chemical_formula_sum 'Pm10 Ho8 Pu2'
_cell_length_a 16.9622
_cell_length_b 3.5338
_cell_length_c 11.4390
_cell_angle_alpha 90.00
_cell_angle_beta 108.99
_cell_angle_gamma 90.00
_space_group_name_H-M_alt 'C 1 2/m 1'
_space_group_IT_number 12
loop_
_space_group_symop_operation_xyz
'x,y,z'
'-x,-y,-z'
'-x,y,-z'
'x,-y,z'
'x+1/2,y+1/2,z'
'-x+1/2,-y+1/2,-z'
'-x+1/2,y+1/2,-z'
'x+1/2,-y+1/2,z'
loop_
_atom_site_label
_atom_site_fract_x
_atom_site_fract_y
_atom_site_fract_z
Pm1 0.0000 0.0000 0.0000
Pm2 0.1863 0.5000 0.5774
Pm3 0.2104 0.5000 0.1145
Ho1 0.0821 0.5000 0.7882
Ho2 0.1047 0.0000 0.2993
Pu1 0.0000 0.0000 0.5000
```



Record 3
Zr2Cu2As | GGA-PBE | optimized geometry

Results
**Magnetic moment**: 0.000 μB/cell
**Crystal system**: tetragonal
**Relative energy among the computed polymorphs**: 0 meV/atom

```
data_Zr2Cu2As
_chemical_formula_sum 'Zr4 Cu4 As2'
_cell_length_a 6.4856
_cell_length_b 6.4856
_cell_length_c 4.0980
_cell_angle_alpha 90.00
_cell_angle_beta 90.00
_cell_angle_gamma 90.00
_space_group_name_H-M_alt 'P 4/m b m'
_space_group_IT_number 127
_space_group_name_Hall '-P 4 2ab'
loop_
_atom_site_label
_atom_site_fract_x
_atom_site_fract_y
_atom_site_fract_z
Zr1 0.1664 0.3336 0.0000
Cu1 0.1301 0.6301 0.5000
As1 0.0000 0.0000 0.5000
```



Record 4
Tb2Ge3Pd4Au | GGA-PBE | optimized geometry

Results
**Magnetic moment**: 0.000 μB/cell
**Crystal system**: tetragonal
**Total DFT energy (no corrections)**: -5.4374 eV per atom

```
data_Tb2Ge3Pd4Au
_chemical_formula_sum 'Tb2 Ge3 Pd4 Au1'
_cell_length_a 4.0778
_cell_length_b 4.0778
_cell_length_c 11.4355
_cell_angle_alpha 90.00
_cell_angle_beta 90.00
_cell_angle_gamma 90.00
_space_group_name_H-M_alt 'P -4 m 2'
_space_group_IT_number 115
loop_
_space_group_symop_operation_xyz
'x,y,z'
'y,-x,-z'
'-x,-y,z'
'-y,x,-z'
'-x,y,z'
'-y,-x,-z'
'x,-y,z'
'y,x,-z'
loop_
_atom_site_label
_atom_site_fract_x
_atom_site_fract_y
_atom_site_fract_z
Tb1 0.0000 0.5000 0.2478
Ge1 0.0000 0.5000 0.8702
Ge2 0.5000 0.5000 0.5000
Pd1 0.0000 0.0000 0.0000
Pd2 0.0000 0.5000 0.6592
Pd3 0.5000 0.5000 0.0000
Au1 0.0000 0.0000 0.5000
```



Record 5
SbI2Br | GGA-PBE | optimized geometry

Results
**Magnetic moment**: 0.000 μB/cell
**ΔE_f (raw)**: 0.13 eV/atom
**Crystal system**: cubic
**Relative energy among the computed polymorphs**: 533 meV/atom

```
data_SbI2Br
_chemical_formula_sum 'Sb4 I8 Br4'
_cell_length_a 7.8360
_cell_length_b 7.8360
_cell_length_c 7.8360
_cell_angle_alpha 90.00
_cell_angle_beta 90.00
_cell_angle_gamma 90.00
_space_group_name_H-M_alt 'F m -3 m'
_space_group_IT_number 225
_space_group_name_Hall '-F 4 2 3'
loop_
_atom_site_label
_atom_site_fract_x
_atom_site_fract_y
_atom_site_fract_z
Sb1 0.0000 0.0000 0.0000
I1 0.2500 0.2500 0.2500
Br1 0.0000 0.0000 0.5000
```



Record 6
Ca2Mg5Zn2Ag | GGA-PBE | optimized geometry

Results
**Magnetic moment**: 0.000 μB/cell
**Crystal system**: tetragonal
**Total DFT energy (no corrections)**: -1.8639 eV per atom

```
data_Ca2Mg5Zn2Ag
_chemical_formula_sum 'Ca4 Mg10 Zn4 Ag2'
_cell_length_a 10.9295
_cell_length_b 10.9295
_cell_length_c 3.9237
_cell_angle_alpha 90.00
_cell_angle_beta 90.00
_cell_angle_gamma 90.00
_space_group_name_H-M_alt 'P 4/m b m'
_space_group_IT_number 127
_space_group_name_Hall '-P 4 2ab'
loop_
_atom_site_label
_atom_site_fract_x
_atom_site_fract_y
_atom_site_fract_z
Ca1 0.1757 0.3243 0.0000
Mg1 0.0000 0.5000 0.5000
Mg2 0.0596 0.8023 0.5000
Zn1 0.1253 0.6253 0.0000
Ag1 0.0000 0.0000 0.0000
```



Record 7
In2Te2F | GGA-PBE | optimized geometry

Results
**Magnetic moment**: 0.000 μB/cell
**ΔE_f (raw)**: -0.55 eV/atom
**Crystal system**: tetragonal

```
data_In2Te2F
_chemical_formula_sum 'In4 Te4 F2'
_cell_length_a 7.8995
_cell_length_b 7.8995
_cell_length_c 4.1374
_cell_angle_alpha 90.00
_cell_angle_beta 90.00
_cell_angle_gamma 90.00
_space_group_name_H-M_alt 'P 4/m b m'
_space_group_IT_number 127
_space_group_name_Hall '-P 4 2ab'
loop_
_atom_site_label
_atom_site_fract_x
_atom_site_fract_y
_atom_site_fract_z
In1 0.1696 0.3304 0.0000
Te1 0.1483 0.6483 0.5000
F1 0.0000 0.0000 0.0000
```



Record 8
Ba2NpO4 | GGA-PBE | optimized geometry

Results
**Magnetic moment**: 6.001 μB/cell
**ΔE_f (raw)**: -2.82 eV/atom
**Crystal system**: tetragonal
**Relative energy among the computed polymorphs**: 0 meV/atom

```
data_Ba2NpO4
_chemical_formula_sum 'Ba4 Np2 O8'
_cell_length_a 4.4349
_cell_length_b 4.4349
_cell_length_c 13.6173
_cell_angle_alpha 90.00
_cell_angle_beta 90.00
_cell_angle_gamma 90.00
_space_group_name_H-M_alt 'I 4/m m m'
_space_group_IT_number 139
_space_group_name_Hall '-I 4 2'
loop_
_atom_site_label
_atom_site_fract_x
_atom_site_fract_y
_atom_site_fract_z
Ba1 0.0000 0.0000 0.1467
Np1 0.0000 0.0000 0.5000
O1 0.0000 0.0000 0.3370
O2 0.0000 0.5000 0.0000
```



Record 9
SmEr2Cu2Si2 | GGA-PBE | optimized geometry

Results
**Magnetic moment**: 0.000 μB/cell
**ΔE_f (raw)**: -0.48 eV/atom
**Crystal system**: trigonal

```
data_SmEr2Cu2Si2
_chemical_formula_sum 'Sm3 Er6 Cu6 Si6'
_cell_length_a 4.2042
_cell_length_b 4.2042
_cell_length_c 28.1916
_cell_angle_alpha 90.00
_cell_angle_beta 90.00
_cell_angle_gamma 120.00
_space_group_name_H-M_alt 'R -3 m'
_space_group_IT_number 166
_space_group_name_Hall '-R 3 2"'
loop_
_atom_site_label
_atom_site_fract_x
_atom_site_fract_y
_atom_site_fract_z
Sm1 0.0000 0.0000 0.0000
Er1 0.0000 0.0000 0.1268
Cu1 0.0000 0.0000 0.4023
Si1 0.0000 0.0000 0.2615
```



Record 10
Li2PrCu9 | GGA-PBE | optimized geometry

Results
**Magnetic moment**: 0.000 μB/cell
**Crystal system**: tetragonal
**Relative energy among the computed polymorphs**: 0 meV/atom

```
data_Li2PrCu9
_chemical_formula_sum 'Li4 Pr2 Cu18'
_cell_length_a 8.3725
_cell_length_b 8.3725
_cell_length_c 4.9555
_cell_angle_alpha 90.00
_cell_angle_beta 90.00
_cell_angle_gamma 90.00
_space_group_name_H-M_alt 'P 4/m b m'
_space_group_IT_number 127
_space_group_name_Hall '-P 4 2ab'
loop_
_atom_site_label
_atom_site_fract_x
_atom_site_fract_y
_atom_site_fract_z
Li1 0.1129 0.3871 0.0000
Pr1 0.0000 0.0000 0.0000
Cu1 0.0000 0.5000 0.5000
Cu2 0.0631 0.2119 0.5000
Cu3 0.1800 0.6800 0.2444
```



Record 11
MgH2W | GGA-PBE | optimized geometry

Results
**Magnetic moment**: 0.000 μB/cell
**Crystal system**: tetragonal
**Relative energy among the computed polymorphs**: 0 meV/atom

```
data_MgH2W
_chemical_formula_sum 'Mg4 H8 W4'
_cell_length_a 4.8803
_cell_length_b 4.8803
_cell_length_c 6.7256
_cell_angle_alpha 90.00
_cell_angle_beta 90.00
_cell_angle_gamma 90.00
_space_group_name_H-M_alt 'I -4 2 d'
_space_group_IT_number 122
_space_group_name_Hall 'I -4 2bw'
loop_
_atom_site_label
_atom_site_fract_x
_atom_site_fract_y
_atom_site_fract_z
Mg1 0.0000 0.0000 0.0000
H1 0.2185 0.2500 0.6250
W1 0.0000 0.0000 0.5000
```



Record 12
BaMn2Se | GGA-PBE | optimized geometry

Results
**Magnetic moment**: 8.170 μB/cell
**ΔE_f (raw)**: 0.00 eV/atom
**Crystal system**: tetragonal

```
data_BaMn2Se
_chemical_formula_sum 'Ba1 Mn2 Se1'
_cell_length_a 3.6400
_cell_length_b 3.6400
_cell_length_c 7.2490
_cell_angle_alpha 90.00
_cell_angle_beta 90.00
_cell_angle_gamma 90.00
_space_group_name_H-M_alt 'P 4 m m'
_space_group_IT_number 99
loop_
_space_group_symop_operation_xyz
'x,y,z'
'-y,x,z'
'-x,-y,z'
'y,-x,z'
'-x,y,z'
'y,x,z'
'x,-y,z'
'-y,-x,z'
loop_
_atom_site_label
_atom_site_fract_x
_atom_site_fract_y
_atom_site_fract_z
Ba1 0.0000 0.0000 0.0000
Mn1 0.0000 0.0000 0.5104
Mn2 0.5000 0.5000 0.3343
Se1 0.5000 0.5000 0.6829
```



Record 13
PuThBiO6 | GGA-PBE | optimized geometry

Results
**Magnetic moment**: 6.000 μB/cell
**ΔE_f (raw)**: -2.54 eV/atom
**Crystal system**: trigonal

```
data_PuThBiO6
_chemical_formula_sum 'Pu2 Th2 Bi2 O12'
_cell_length_a 6.0203
_cell_length_b 6.0203
_cell_length_c 9.3308
_cell_angle_alpha 90.00
_cell_angle_beta 90.00
_cell_angle_gamma 120.00
_space_group_name_H-M_alt 'P -3 1 c'
_space_group_IT_number 163
_space_group_name_Hall '-P 3 2c'
loop_
_atom_site_label
_atom_site_fract_x
_atom_site_fract_y
_atom_site_fract_z
Pu1 0.3333 0.6667 0.2500
Th1 0.3333 0.6667 0.7500
Bi1 0.0000 0.0000 0.0000
O1 0.0223 0.3582 0.1347
```



Record 14
P2RuSeS | GGA-PBE | optimized geometry

Results
**Magnetic moment**: 1.483 μB/cell
**ΔE_f (raw)**: 1.50 eV/atom
**Crystal system**: tetragonal
**Relative energy among the computed polymorphs**: 886 meV/atom

```
data_P2RuSeS
_chemical_formula_sum 'P2 Ru1 Se1 S1'
_cell_length_a 4.6888
_cell_length_b 4.6888
_cell_length_c 4.5883
_cell_angle_alpha 90.00
_cell_angle_beta 90.00
_cell_angle_gamma 90.00
_space_group_name_H-M_alt 'P 4/m m m'
_space_group_IT_number 123
_space_group_name_Hall '-P 4 2'
loop_
_atom_site_label
_atom_site_fract_x
_atom_site_fract_y
_atom_site_fract_z
P1 0.0000 0.5000 0.0000
Ru1 0.0000 0.0000 0.5000
Se1 0.5000 0.5000 0.0000
S1 0.5000 0.5000 0.5000
```



Record 15
Sc2MoIr | GGA-PBE | optimized geometry

Results
**Magnetic moment**: 0.000 μB/cell
**Crystal system**: tetragonal
**Total DFT energy (no corrections)**: -8.3222 eV per atom

```
data_Sc2MoIr
_chemical_formula_sum 'Sc2 Mo1 Ir1'
_cell_length_a 2.9743
_cell_length_b 2.9743
_cell_length_c 8.6004
_cell_angle_alpha 90.00
_cell_angle_beta 90.00
_cell_angle_gamma 90.00
_space_group_name_H-M_alt 'P 4 m m'
_space_group_IT_number 99
loop_
_space_group_symop_operation_xyz
'x,y,z'
'-y,x,z'
'-x,-y,z'
'y,-x,z'
'-x,y,z'
'y,x,z'
'x,-y,z'
'-y,-x,z'
loop_
_atom_site_label
_atom_site_fract_x
_atom_site_fract_y
_atom_site_fract_z
Sc1 0.0000 0.0000 0.0000
Sc2 0.5000 0.5000 0.3418
Mo1 0.5000 0.5000 0.7582
Ir1 0.0000 0.0000 0.5606
```



Record 16
LiBeTc3 | GGA-PBE | optimized geometry

Results
**Magnetic moment**: 0.000 μB/cell
**Crystal system**: cubic
**Relative energy among the computed polymorphs**: 0 meV/atom

```
data_LiBeTc3
_chemical_formula_sum 'Li1 Be1 Tc3'
_cell_length_a 4.1511
_cell_length_b 4.1511
_cell_length_c 4.1511
_cell_angle_alpha 90.00
_cell_angle_beta 90.00
_cell_angle_gamma 90.00
_space_group_name_H-M_alt 'P m -3 m'
_space_group_IT_number 221
_space_group_name_Hall '-P 4 2 3'
loop_
_atom_site_label
_atom_site_fract_x
_atom_site_fract_y
_atom_site_fract_z
Li1 0.0000 0.0000 0.0000
Be1 0.5000 0.5000 0.5000
Tc1 0.0000 0.5000 0.5000
```



Record 17
BaGa4Ir2Rh | GGA-PBE | optimized geometry

Results
**Magnetic moment**: 0.000 μB/cell
**Crystal system**: trigonal
**Total DFT energy (no corrections)**: -5.4111 eV per atom

```
data_BaGa4Ir2Rh
_chemical_formula_sum 'Ba3 Ga12 Ir6 Rh3'
_cell_length_a 4.2816
_cell_length_b 4.2816
_cell_length_c 29.0031
_cell_angle_alpha 90.00
_cell_angle_beta 90.00
_cell_angle_gamma 120.00
_space_group_name_H-M_alt 'R -3 m'
_space_group_IT_number 166
_space_group_name_Hall '-R 3 2"'
loop_
_atom_site_label
_atom_site_fract_x
_atom_site_fract_y
_atom_site_fract_z
Ba1 0.0000 0.0000 0.0000
Ga1 0.0000 0.0000 0.1341
Ga2 0.0000 0.0000 0.4109
Ir1 0.0000 0.0000 0.2266
Rh1 0.0000 0.0000 0.5000
```



Record 18
Rb3Ce2TiS6 | GGA-PBE | optimized geometry

Results
**Magnetic moment**: 6.006 μB/cell
**ΔE_f (raw)**: -1.58 eV/atom
**Crystal system**: monoclinic

```
data_Rb3Ce2TiS6
_chemical_formula_sum 'Rb6 Ce4 Ti2 S12'
_cell_length_a 7.0045
_cell_length_b 12.1331
_cell_length_c 8.0348
_cell_angle_alpha 90.00
_cell_angle_beta 106.96
_cell_angle_gamma 90.00
_space_group_name_H-M_alt 'C 1 2/m 1'
_space_group_IT_number 12
loop_
_space_group_symop_operation_xyz
'x,y,z'
'-x,-y,-z'
'-x,y,-z'
'x,-y,z'
'x+1/2,y+1/2,z'
'-x+1/2,-y+1/2,-z'
'-x+1/2,y+1/2,-z'
'x+1/2,-y+1/2,z'
loop_
_atom_site_label
_atom_site_fract_x
_atom_site_fract_y
_atom_site_fract_z
Rb1 0.0000 0.0000 0.0000
Rb2 0.0000 0.3313 0.0000
Ce1 0.0000 0.1664 0.5000
Ti1 0.0000 0.5000 0.5000
S1 0.2184 0.3448 0.6894
S2 0.2467 0.5000 0.3097
```



Record 19
BaPNCl2 | GGA-PBE | optimized geometry

Results
**Magnetic moment**: 3.722 μB/cell
**ΔE_f (raw)**: 0.69 eV/atom
**Crystal system**: tetragonal
**Relative energy among the computed polymorphs**: 1159 meV/atom

```
data_BaPNCl2
_chemical_formula_sum 'Ba1 P1 N1 Cl2'
_cell_length_a 5.9417
_cell_length_b 5.9417
_cell_length_c 7.4072
_cell_angle_alpha 90.00
_cell_angle_beta 90.00
_cell_angle_gamma 90.00
_space_group_name_H-M_alt 'P 4/m m m'
_space_group_IT_number 123
_space_group_name_Hall '-P 4 2'
loop_
_atom_site_label
_atom_site_fract_x
_atom_site_fract_y
_atom_site_fract_z
Ba1 0.0000 0.0000 0.0000
P1 0.0000 0.0000 0.5000
N1 0.5000 0.5000 0.5000
Cl1 0.0000 0.5000 0.0000
```



Record 20
KZn2Ni | GGA-PBE | optimized geometry

Results
**Magnetic moment**: 0.000 μB/cell
**Crystal system**: cubic
**Relative energy among the computed polymorphs**: 504 meV/atom

```
data_KZn2Ni
_chemical_formula_sum 'K4 Zn8 Ni4'
_cell_length_a 6.8057
_cell_length_b 6.8057
_cell_length_c 6.8057
_cell_angle_alpha 90.00
_cell_angle_beta 90.00
_cell_angle_gamma 90.00
_space_group_name_H-M_alt 'F m -3 m'
_space_group_IT_number 225
_space_group_name_Hall '-F 4 2 3'
loop_
_atom_site_label
_atom_site_fract_x
_atom_site_fract_y
_atom_site_fract_z
K1 0.0000 0.0000 0.0000
Zn1 0.2500 0.2500 0.2500
Ni1 0.0000 0.0000 0.5000
```